Here is a relaxed structure of NdGdTlAu from Alexandria via LeMat-Bulk. Energies are from PBE.

Properties
The value obtained for the formation energy from the elements is -549 meV per atom. Its space-group type is F-43m (216). The value obtained for the density is 10.8 Mg/m³.

abc: 5.3441 5.3441 5.3441
angles: 60.00 60.00 60.00
Closest atoms and distances in Å follow each position.
Sites, in units of the cell vectors:
Tl 0.0000 0.0000 0.0000  4 Nd 3.27, 4 Gd 3.27
Gd 0.2500 0.2500 0.2500  4 Tl 3.27, 4 Au 3.27
Nd 0.7500 0.7500 0.7500  4 Tl 3.27, 4 Au 3.27
Au 0.5000 0.5000 0.5000  4 Gd 3.27, 4 Nd 3.27

Here is a relaxed structure of GdNi2Au from Alexandria via LeMat-Bulk. Energies are from PBE.

Properties
The value obtained for the formation energy from the elements is -340 meV per atom. Its space-group type is P4/mmm (123). The value obtained for the density is 11.9 Mg/m³.

abc: 3.7666 4.1830 4.1830
angles: 90.00 90.00 90.00
Closest atoms and distances in Å follow each position.
Sites, in units of the cell vectors:
Ni 0.0000 0.0000 0.5000  4 Gd 2.81, 4 Au 2.81, 4 Ni 2.96
Ni 0.0000 0.5000 0.0000  4 Au 2.81, 4 Gd 2.81, 4 Ni 2.96
Gd 0.5000 0.5000 0.5000  8 Ni 2.81, 4 Au 2.96
Au 0.5000 0.0000 0.0000  8 Ni 2.81, 4 Gd 2.96

Here is a relaxed structure of GdNi2Au from Alexandria via LeMat-Bulk. Energies are from PBE.

Properties
The value obtained for the formation energy from the elements is -307 meV per atom. Its space-group type is Fm-3m (225). The value obtained for the density is 11.8 Mg/m³.

abc: 4.5415 4.5415 4.5408
angles: 59.99 59.99 60.00
Closest atoms and distances in Å follow each position.
Sites, in units of the cell vectors:
Gd 0.0000 0.0000 0.0000  8 Ni 2.78
Ni 0.2501 0.2501 0.2498  4 Au 2.78, 4 Gd 2.78
Ni 0.7499 0.7499 0.7502  4 Au 2.78, 4 Gd 2.78
Au 0.5000 0.5000 0.5000  8 Ni 2.78

Here is a relaxed structure of GdNiAu from Alexandria via LeMat-Bulk. Energies are from PBE.

Properties
The value obtained for the formation energy from the elements is -438 meV per atom. Its space-group type is I4mm (107). The value obtained for the density is 11.7 Mg/m³.

abc: 3.5955 3.5955 5.1895
angles: 110.27 110.27 90.00
Closest atoms and distances in Å follow each position.
Sites, in units of the cell vectors:
Gd 0.6224 0.6224 0.2448  5 Au 2.91-3.01, 5 Ni 2.93-3.06
Au 0.9435 0.9435 0.8869  5 Gd 2.91-3.01, 5 Ni 2.92-3.08
Ni 0.2841 0.2841 0.5683  5 Au 2.92-3.08, 5 Gd 2.93-3.06

Here is a relaxed structure of GdNiAu from Alexandria via LeMat-Bulk. Energies are from PBE.

Properties
The value obtained for the formation energy from the elements is -453 meV per atom. Its space-group type is F-43m (216). The value obtained for the density is 10.7 Mg/m³.

abc: 4.4865 4.4865 4.4865
angles: 60.00 60.00 60.00
Closest atoms and distances in Å follow each position.
Sites, in units of the cell vectors:
Au 0.0000 0.0000 0.0000  4 Ni 2.75
Ni 0.2500 0.2500 0.2500  4 Gd 2.75, 4 Au 2.75
Gd 0.5000 0.5000 0.5000  4 Ni 2.75

Here is a relaxed structure of GdNiAu from Alexandria via LeMat-Bulk. Energies are from PBE.

Properties
The value obtained for the formation energy from the elements is -533 meV per atom. Its space-group type is P3m1 (156). The value obtained for the density is 11.2 Mg/m³.

abc: 3.6422 4.4041 4.4041
angles: 120.00 90.00 90.00
Closest atoms and distances in Å follow each position.
Sites, in units of the cell vectors:
Ni 0.1657 0.0000 0.0000  3 Au 2.54
Gd 0.6670 0.6667 0.3333  6 Ni 3.12-3.13, 6 Au 3.13
Au 0.1672 0.3333 0.6667  3 Ni 2.54

Here is a relaxed structure of GdNi4Au from Alexandria via LeMat-Bulk. Energies are from PBE.

Properties
The value obtained for the formation energy from the elements is -352 meV per atom. Its space-group type is F-43m (216). The value obtained for the density is 11.3 Mg/m³.

abc: 4.9615 4.9615 4.9615
angles: 60.00 60.00 60.00
Closest atoms and distances in Å follow each position.
Sites, in units of the cell vectors:
Ni 0.3756 0.8731 0.3756  6 Ni 2.47-2.49
Ni 0.3756 0.3756 0.3756  6 Ni 2.47-2.49
Ni 0.3756 0.3756 0.8731  6 Ni 2.47-2.49
Ni 0.8731 0.3756 0.3756  6 Ni 2.47-2.49
Au 0.7500 0.7500 0.7500  12 Ni 2.91, 4 Gd 3.04
Gd 0.0000 0.0000 0.0000  12 Ni 2.91, 4 Au 3.04

Here is a relaxed structure of GdNiPbAu from Alexandria via LeMat-Bulk. Energies are from PBE.

Properties
The value obtained for the formation energy from the elements is -339 meV per atom. Its space-group type is F-43m (216). The value obtained for the density is 12.1 Mg/m³.

abc: 4.9328 4.9328 4.9328
angles: 60.00 60.00 60.00
Closest atoms and distances in Å follow each position.
Sites, in units of the cell vectors:
Au 0.7500 0.7500 0.7500  4 Gd 3.02, 4 Pb 3.02
Gd 0.0000 0.0000 0.0000  4 Ni 3.02, 4 Au 3.02
Ni 0.2500 0.2500 0.2500  4 Gd 3.02, 4 Pb 3.02
Pb 0.5000 0.5000 0.5000  4 Ni 3.02, 4 Au 3.02

Here is a relaxed structure of GdNiPdAu from Alexandria via LeMat-Bulk. Energies are from PBE.

Properties
The value obtained for the formation energy from the elements is -480 meV per atom. Its space-group type is F-43m (216). The value obtained for the density is 12.0 Mg/m³.

abc: 4.6656 4.6656 4.6656
angles: 60.00 60.00 60.00
Closest atoms and distances in Å follow each position.
Sites, in units of the cell vectors:
Ni 0.2500 0.2500 0.2500  4 Gd 2.86, 4 Au 2.86
Pd 0.7500 0.7500 0.7500  4 Gd 2.86, 4 Au 2.86
Gd 0.0000 0.0000 0.0000  4 Pd 2.86, 4 Ni 2.86
Au 0.5000 0.5000 0.5000  4 Ni 2.86, 4 Pd 2.86

Here is a relaxed structure of PmGdNiAu from Alexandria via LeMat-Bulk. Energies are from PBE.

Properties
The value obtained for the formation energy from the elements is -516 meV per atom. Its space-group type is F-43m (216). The value obtained for the density is 10.1 Mg/m³.

abc: 5.0540 5.0540 5.0540
angles: 60.00 60.00 60.00
Closest atoms and distances in Å follow each position.
Sites, in units of the cell vectors:
Au 0.7500 0.7500 0.7500  4 Pm 3.09, 4 Gd 3.09
Pm 0.0000 0.0000 0.0000  4 Ni 3.09, 4 Au 3.09
Gd 0.5000 0.5000 0.5000  4 Ni 3.09, 4 Au 3.09
Ni 0.2500 0.2500 0.2500  4 Gd 3.09, 4 Pm 3.09

Here is a relaxed structure of PrGdNiAu from Alexandria via LeMat-Bulk. Energies are from PBE.

Properties
The value obtained for the formation energy from the elements is -490 meV per atom. Its space-group type is F-43m (216). The value obtained for the density is 9.9 Mg/m³.

abc: 5.0902 5.0902 5.0902
angles: 60.00 60.00 60.00
Closest atoms and distances in Å follow each position.
Sites, in units of the cell vectors:
Ni 0.2500 0.2500 0.2500  4 Gd 3.12, 4 Pr 3.12
Au 0.7500 0.7500 0.7500  4 Gd 3.12, 4 Pr 3.12
Pr 0.0000 0.0000 0.0000  4 Au 3.12, 4 Ni 3.12
Gd 0.5000 0.5000 0.5000  4 Au 3.12, 4 Ni 3.12

Here is a relaxed structure of TbGdNiAu from Alexandria via LeMat-Bulk. Energies are from PBE.

Properties
The value obtained for the formation energy from the elements is -558 meV per atom. Its space-group type is F-43m (216). The value obtained for the density is 10.8 Mg/m³.

abc: 4.9959 4.9959 4.9959
angles: 60.00 60.00 60.00
Closest atoms and distances in Å follow each position.
Sites, in units of the cell vectors:
Gd 0.5000 0.5000 0.5000  4 Au 3.06, 4 Ni 3.06
Ni 0.2500 0.2500 0.2500  4 Gd 3.06, 4 Tb 3.06
Au 0.7500 0.7500 0.7500  4 Tb 3.06, 4 Gd 3.06
Tb 0.0000 0.0000 0.0000  4 Ni 3.06, 4 Au 3.06

Computed total magnetization (Bohr magnetons per cell) in order:
7.62; 7.02; 7.10; 7.20; 7.12; 7.15; 6.15; 7.21; 7.09; 7.12; 7.18; 7.13